P | First-principles (PBE-GGA) data for Ga2Cu7Au3 after structural relaxation, as listed in the Alexandria database.

- Total magnetic moment: 0.00 μB per cell
- Calculated volume: 14.587 Å³ per atom
- D(E_F): 3.617 states/eV/f.u.

Lattice parameters (Å, degrees): 2.804 4.346 14.808 104.01 90.00 90.00
Fractional coordinates of all 12 atoms:
Ga1 0.500 0.574 0.288
Cu1 0.000 0.000 0.000
Cu2 0.000 0.453 0.148
Cu3 0.500 0.975 0.167
Au1 0.000 0.147 0.376
Cu4 0.500 0.715 0.457
Cu5 0.500 0.025 0.833
Au2 0.000 0.853 0.624
Ga2 0.500 0.426 0.712
Cu6 0.000 0.547 0.852
Au3 0.500 0.500 0.000
Cu7 0.500 0.285 0.543

---

Q | First-principles (PBE-GGA) data for Ga2Cu7Au3 after structural relaxation, as listed in the Alexandria database.

- Total magnetic moment: 0.00 μB per cell
- Calculated volume: 14.497 Å³ per atom
- D(E_F): 2.653 states/eV/f.u.

Lattice parameters (Å, degrees): 4.944 4.944 8.699 73.49 73.49 60.00
Fractional coordinates of all 12 atoms:
Ga1 0.334 0.334 0.999
Cu1 0.500 0.500 0.500
Cu2 0.414 0.917 0.256
Au1 0.852 0.852 0.443
Ga2 0.666 0.666 0.001
Cu3 0.917 0.414 0.256
Au2 0.000 0.000 0.000
Cu4 0.414 0.414 0.256
Au3 0.148 0.148 0.557
Cu5 0.083 0.586 0.744
Cu6 0.586 0.586 0.744
Cu7 0.586 0.083 0.744

---

Which of them is least stable? Easy: P.

---

P | First-principles (PBE-GGA) data for Ga2CuAu3 after structural relaxation, as listed in the Alexandria database.

- Total magnetic moment: 0.00 μB per cell
- Calculated volume: 17.000 Å³ per atom
- D(E_F): 1.357 states/eV/f.u.

Lattice parameters (Å, degrees): 3.498 5.375 10.848 90.00 90.00 90.00
Fractional coordinates of all 12 atoms:
Au1 0.500 0.132 0.500
Ga1 0.000 0.355 0.654
Ga2 0.500 0.645 0.154
Au2 0.500 0.164 0.169
Au3 0.000 0.868 0.000
Au4 0.500 0.164 0.831
Ga3 0.500 0.645 0.846
Cu1 0.500 0.632 0.500
Ga4 0.000 0.355 0.346
Cu2 0.000 0.368 0.000
Au5 0.000 0.836 0.669
Au6 0.000 0.836 0.331

---

Q | First-principles (PBE-GGA) data for Ga2CuAu3 after structural relaxation, as listed in the Alexandria database.

- Total magnetic moment: 0.00 μB per cell
- Calculated volume: 18.693 Å³ per atom
- D(E_F): 1.994 states/eV/f.u.

Lattice parameters (Å, degrees): 2.912 6.425 6.955 117.51 102.08 90.00
Fractional coordinates of all 6 atoms:
Ga1 0.699 0.389 0.398
Ga2 0.301 0.991 0.602
Cu1 0.500 0.259 0.000
Au1 0.375 0.468 0.750
Au2 0.000 0.919 0.000
Au3 0.625 0.718 0.250

---

Which of them is least stable? Easy: Q.

---

P | First-principles (PBE-GGA) data for GaCuAu3 after structural relaxation, as listed in the Alexandria database.

- Total magnetic moment: 0.00 μB per cell
- Calculated volume: 17.840 Å³ per atom
- D(E_F): 1.528 states/eV/f.u.

Lattice parameters (Å, degrees): 7.678 6.900 6.900 77.40 89.99 89.99
Fractional coordinates of all 20 atoms:
Au1 0.560 0.711 0.025
Cu1 0.750 0.637 0.363
Cu2 0.250 0.939 0.061
Au2 0.940 0.975 0.289
Ga1 0.250 0.866 0.444
Ga2 0.250 0.556 0.134
Cu3 0.750 0.061 0.939
Au3 0.500 0.369 0.369
Au4 0.060 0.289 0.975
Au5 0.000 0.631 0.631
Au6 0.060 0.025 0.711
Au7 0.500 0.631 0.631
Au8 0.000 0.369 0.369
Au9 0.440 0.025 0.711
Au10 0.440 0.289 0.975
Au11 0.940 0.711 0.025
Cu4 0.250 0.363 0.637
Au12 0.560 0.975 0.289
Ga3 0.750 0.134 0.556
Ga4 0.750 0.444 0.866

---

Q | First-principles (PBE-GGA) data for GaCuAu3 after structural relaxation, as listed in the Alexandria database.

- Total magnetic moment: 0.00 μB per cell
- Calculated volume: 16.512 Å³ per atom
- D(E_F): 1.438 states/eV/f.u.

Lattice parameters (Å, degrees): 4.742 4.700 7.799 88.28 73.03 83.26
Fractional coordinates of all 10 atoms:
Ga1 0.303 0.370 0.004
Au1 0.306 0.854 0.188
Cu1 0.902 0.814 0.009
Au2 0.912 0.315 0.808
Au3 0.106 0.334 0.426
Ga2 0.108 0.819 0.610
Cu2 0.509 0.375 0.606
Au4 0.693 0.854 0.422
Au5 0.499 0.874 0.806
Au6 0.718 0.334 0.192

---

R | First-principles (PBE-GGA) data for GaCuAu3 after structural relaxation, as listed in the Alexandria database.

- Total magnetic moment: 0.00 μB per cell
- Calculated volume: 22.823 Å³ per atom
- D(E_F): 1.506 states/eV/f.u.

Lattice parameters (Å, degrees): 4.850 4.850 4.850 90.00 90.00 90.00
Fractional coordinates of all 5 atoms:
Au1 0.000 0.000 0.500
Cu1 0.000 0.000 0.000
Au2 0.000 0.500 0.000
Au3 0.500 0.000 0.000
Ga1 0.500 0.500 0.500

---

Which of them is least stable? Easy: R.

---

P | First-principles (PBE-GGA) data for Ga2Cu3Au2 after structural relaxation, as listed in the Alexandria database.

- Total magnetic moment: 0.00 μB per cell
- Calculated volume: 14.874 Å³ per atom
- D(E_F): 2.247 states/eV/f.u.

Lattice parameters (Å, degrees): 3.030 5.557 6.639 103.53 90.08 106.16
Fractional coordinates of all 7 atoms:
Ga1 0.408 0.817 0.255
Au1 0.127 0.255 0.414
Cu1 0.000 0.000 0.000
Cu2 0.293 0.585 0.873
Cu3 0.707 0.415 0.127
Au2 0.873 0.745 0.586
Ga2 0.592 0.183 0.745

---

Q | First-principles (PBE-GGA) data for Ga2Cu3Au2 after structural relaxation, as listed in the Alexandria database.

- Total magnetic moment: 0.00 μB per cell
- Calculated volume: 16.101 Å³ per atom
- D(E_F): 2.137 states/eV/f.u.

Lattice parameters (Å, degrees): 6.641 6.640 6.641 109.47 109.47 109.47
Fractional coordinates of all 14 atoms:
Cu1 0.250 0.012 0.262
Cu2 0.762 0.750 0.012
Au1 0.000 0.000 0.855
Au2 0.500 0.855 0.500
Cu3 0.988 0.238 0.250
Ga1 0.000 0.000 0.478
Cu4 0.512 0.262 0.750
Cu5 0.750 0.488 0.238
Au3 0.355 0.500 0.000
Au4 0.145 0.645 0.645
Ga2 0.522 0.022 0.022
Ga3 0.978 0.500 0.000
Ga4 0.500 0.478 0.500
Cu6 0.738 0.250 0.488

---

Which of them is least stable? Easy: Q.

---

P | First-principles (PBE-GGA) data for GaCuAu4 after structural relaxation, as listed in the Alexandria database.

- Total magnetic moment: 0.00 μB per cell
- Calculated volume: 17.709 Å³ per atom
- D(E_F): 1.702 states/eV/f.u.

Lattice parameters (Å, degrees): 5.544 8.173 4.690 90.00 90.00 90.00
Fractional coordinates of all 12 atoms:
Au1 0.916 0.670 0.000
Au2 0.086 0.836 0.500
Au3 0.584 0.170 0.000
Cu1 0.500 0.500 0.000
Cu2 0.000 0.000 0.000
Ga1 0.000 0.500 0.500
Au4 0.586 0.664 0.500
Au5 0.084 0.330 0.000
Au6 0.414 0.336 0.500
Au7 0.416 0.830 0.000
Ga2 0.500 0.000 0.500
Au8 0.914 0.164 0.500

---

Q | First-principles (PBE-GGA) data for GaCuAu4 after structural relaxation, as listed in the Alexandria database.

- Total magnetic moment: 0.00 μB per cell
- Calculated volume: 16.763 Å³ per atom
- D(E_F): 1.401 states/eV/f.u.

Lattice parameters (Å, degrees): 4.576 5.256 4.646 90.00 90.00 115.80
Fractional coordinates of all 6 atoms:
Au1 0.345 0.691 0.000
Au2 0.154 0.308 0.500
Au3 0.655 0.309 0.000
Ga1 0.000 0.000 0.000
Cu1 0.500 0.000 0.500
Au4 0.846 0.692 0.500

---

Which of them is least stable? Easy: P.

---

P | First-principles (PBE-GGA) data for GaCu4Au3 after structural relaxation, as listed in the Alexandria database.

- Total magnetic moment: 0.00 μB per cell
- Calculated volume: 14.787 Å³ per atom
- D(E_F): 2.388 states/eV/f.u.

Lattice parameters (Å, degrees): 3.765 3.984 8.352 103.87 103.03 90.00
Fractional coordinates of all 8 atoms:
Cu1 0.753 0.252 0.506
Ga1 0.500 0.000 0.000
Au1 0.133 0.134 0.267
Cu2 0.364 0.365 0.729
Cu3 0.247 0.748 0.494
Cu4 0.636 0.635 0.271
Au2 0.000 0.500 0.000
Au3 0.867 0.866 0.733

---

Q | First-principles (PBE-GGA) data for GaCu4Au3 after structural relaxation, as listed in the Alexandria database.

- Total magnetic moment: 0.00 μB per cell
- Calculated volume: 15.339 Å³ per atom
- D(E_F): 3.602 states/eV/f.u.

Lattice parameters (Å, degrees): 5.809 5.809 5.809 79.19 126.61 126.25
Fractional coordinates of all 8 atoms:
Cu1 0.599 0.250 0.348
Cu2 0.068 0.265 0.333
Ga1 0.304 0.500 0.804
Au1 0.568 0.257 0.824
Cu3 0.068 0.735 0.803
Cu4 0.098 0.750 0.348
Au2 0.568 0.743 0.311
Au3 0.879 0.000 0.879

---

Which of them is least stable? Easy: Q.

---

P | First-principles (PBE-GGA) data for GaCu3Au after structural relaxation, as listed in the Alexandria database.

- Total magnetic moment: 0.00 μB per cell
- Calculated volume: 17.560 Å³ per atom
- D(E_F): 1.888 states/eV/f.u.

Lattice parameters (Å, degrees): 4.445 4.445 4.445 90.00 90.00 90.00
Fractional coordinates of all 5 atoms:
Cu1 0.000 0.500 0.000
Cu2 0.000 0.000 0.500
Ga1 0.000 0.000 0.000
Cu3 0.500 0.000 0.000
Au1 0.500 0.500 0.500

---

Q | First-principles (PBE-GGA) data for GaCu3Au after structural relaxation, as listed in the Alexandria database.

- Total magnetic moment: 0.00 μB per cell
- Calculated volume: 17.354 Å³ per atom
- D(E_F): 1.806 states/eV/f.u.

Lattice parameters (Å, degrees): 6.722 6.722 8.236 90.00 90.00 111.13
Fractional coordinates of all 20 atoms:
Cu1 0.605 0.395 0.500
Cu2 0.420 0.198 0.750
Cu3 0.819 0.819 0.002
Cu4 0.819 0.819 0.498
Au1 0.000 0.500 0.000
Ga1 0.002 0.002 0.250
Cu5 0.395 0.605 0.500
Cu6 0.181 0.181 0.502
Cu7 0.181 0.181 0.998
Cu8 0.605 0.395 0.000
Cu9 0.802 0.580 0.250
Ga2 0.630 0.630 0.750
Au2 0.500 0.000 0.000
Ga3 0.370 0.370 0.250
Cu10 0.580 0.802 0.250
Cu11 0.198 0.420 0.750
Cu12 0.395 0.605 0.000
Au3 0.000 0.500 0.500
Ga4 0.998 0.998 0.750
Au4 0.500 0.000 0.500

---

R | First-principles (PBE-GGA) data for GaCu3Au after structural relaxation, as listed in the Alexandria database.

- Total magnetic moment: 0.00 μB per cell
- Calculated volume: 15.033 Å³ per atom
- D(E_F): 1.451 states/eV/f.u.

Lattice parameters (Å, degrees): 4.204 6.175 6.883 114.83 90.00 109.90
Fractional coordinates of all 10 atoms:
Cu1 0.696 0.391 0.026
Cu2 0.852 0.703 0.432
Cu3 0.219 0.438 0.259
Ga1 0.606 0.212 0.326
Cu4 0.304 0.609 0.974
Ga2 0.394 0.788 0.674
Cu5 0.148 0.297 0.568
Au1 0.045 0.089 0.832
Cu6 0.781 0.562 0.741
Au2 0.955 0.911 0.168

---

Which of them is least stable? Easy: P.

---

P | First-principles (PBE-GGA) data for Ga2Cu2Au7 after structural relaxation, as listed in the Alexandria database.

- Total magnetic moment: 0.00 μB per cell
- Calculated volume: 17.384 Å³ per atom
- D(E_F): 3.846 states/eV/f.u.

Lattice parameters (Å, degrees): 5.867 5.892 5.867 102.66 94.75 102.66
Fractional coordinates of all 11 atoms:
Au1 0.892 0.187 0.457
Cu1 0.757 0.500 0.243
Cu2 0.243 0.500 0.757
Ga1 0.811 0.511 0.811
Ga2 0.189 0.489 0.189
Au2 0.108 0.813 0.543
Au3 0.000 0.000 0.000
Au4 0.599 0.783 0.599
Au5 0.457 0.187 0.892
Au6 0.401 0.217 0.401
Au7 0.543 0.813 0.108

---

Q | First-principles (PBE-GGA) data for Ga2Cu2Au7 after structural relaxation, as listed in the Alexandria database.

- Total magnetic moment: 0.00 μB per cell
- Calculated volume: 18.467 Å³ per atom
- D(E_F): 4.302 states/eV/f.u.

Lattice parameters (Å, degrees): 5.115 6.734 6.734 93.32 70.76 70.76
Fractional coordinates of all 11 atoms:
Au1 0.680 0.578 0.077
Ga1 0.500 0.711 0.711
Ga2 0.500 0.289 0.289
Au2 0.320 0.422 0.923
Au3 0.680 0.077 0.578
Cu1 0.000 0.264 0.736
Au4 0.065 0.638 0.638
Au5 0.320 0.923 0.422
Au6 0.500 0.000 0.000
Cu2 0.000 0.736 0.264
Au7 0.935 0.362 0.362

---

Which of them is least stable? Easy: Q.

---

P | First-principles (PBE-GGA) data for Ga2CuAu5 after structural relaxation, as listed in the Alexandria database.

- Total magnetic moment: 0.00 μB per cell
- Calculated volume: 17.460 Å³ per atom
- D(E_F): 2.033 states/eV/f.u.

Lattice parameters (Å, degrees): 4.737 5.571 10.584 90.00 90.00 90.00
Fractional coordinates of all 16 atoms:
Au1 0.500 0.693 0.906
Au2 0.000 0.780 0.250
Ga1 0.500 0.683 0.645
Au3 0.000 0.280 0.250
Au4 0.000 0.220 0.750
Au5 0.000 0.500 0.500
Au6 0.500 0.307 0.094
Au7 0.000 0.000 0.000
Cu1 0.000 0.500 0.000
Ga2 0.500 0.183 0.855
Ga3 0.500 0.317 0.355
Cu2 0.000 0.000 0.500
Ga4 0.500 0.817 0.145
Au8 0.500 0.807 0.406
Au9 0.000 0.720 0.750
Au10 0.500 0.193 0.594

---

Q | First-principles (PBE-GGA) data for Ga2CuAu5 after structural relaxation, as listed in the Alexandria database.

- Total magnetic moment: 0.00 μB per cell
- Calculated volume: 22.951 Å³ per atom
- D(E_F): 2.910 states/eV/f.u.

Lattice parameters (Å, degrees): 4.161 8.349 10.913 90.00 90.00 104.43
Fractional coordinates of all 16 atoms:
Au1 0.022 0.043 0.127
Ga1 0.873 0.745 0.451
Au2 0.022 0.043 0.373
Au3 0.978 0.957 0.873
Ga2 0.873 0.745 0.049
Cu1 0.842 0.684 0.750
Cu2 0.158 0.316 0.250
Au4 0.275 0.550 0.420
Ga3 0.127 0.255 0.951
Au5 0.275 0.550 0.080
Au6 0.229 0.458 0.750
Au7 0.725 0.450 0.580
Au8 0.771 0.542 0.250
Au9 0.725 0.450 0.920
Au10 0.978 0.957 0.627
Ga4 0.127 0.255 0.549

---

Which of them is least stable? Easy: Q.

---

P | First-principles (PBE-GGA) data for Ga2Cu4Au after structural relaxation, as listed in the Alexandria database.

- Total magnetic moment: 0.00 μB per cell
- Calculated volume: 20.008 Å³ per atom
- D(E_F): 1.913 states/eV/f.u.

Lattice parameters (Å, degrees): 4.781 4.781 6.999 70.03 70.03 90.00
Fractional coordinates of all 7 atoms:
Ga1 0.394 0.394 0.213
Ga2 0.606 0.606 0.787
Au1 0.000 0.000 0.000
Cu1 0.204 0.204 0.591
Cu2 0.000 0.500 0.000
Cu3 0.796 0.796 0.409
Cu4 0.500 0.000 0.000

---

Q | First-principles (PBE-GGA) data for Ga2Cu4Au after structural relaxation, as listed in the Alexandria database.

- Total magnetic moment: 0.00 μB per cell
- Calculated volume: 14.423 Å³ per atom
- D(E_F): 2.289 states/eV/f.u.

Lattice parameters (Å, degrees): 4.062 2.998 8.662 80.16 103.56 90.00
Fractional coordinates of all 7 atoms:
Ga1 0.609 0.891 0.219
Au1 0.000 0.000 0.000
Cu1 0.737 0.263 0.475
Cu2 0.137 0.363 0.274
Cu3 0.863 0.637 0.726
Ga2 0.391 0.109 0.781
Cu4 0.263 0.737 0.525

---

Which of them is least stable? Easy: P.